VASP calculation (GGA-PBE) on a relaxed TlInTePb crystal.

Cell and atoms, written as POSCAR:
```
TlInTePb
1.0
5.584 0.000 0.000
2.792 4.836 0.000
2.792 1.612 4.559
Te Pb Tl In
1 1 1 1
Cartesian
0.000 0.000 0.000
8.376 4.836 3.419
2.792 1.612 1.140
5.584 3.224 2.280
```

D(E_F)   2.1 states/eV/cell
Spin magnetization   0.0000 μB/atom
Space group   F-43m (216)
ΔE_f (raw)   -18 meV/atom